1.
This record from Alexandria via LeMat-Bulk describes a relaxed structure of MnOs3N. The functional is PBE. Values from VASP.

The structure in Quantum ESPRESSO input format:
```
&SYSTEM
  ibrav = 0, nat = 5, ntyp = 3
/
ATOMIC_SPECIES
Mn 54.94 Mn.upf
Os 190.23 Os.upf
N 14.01 N.upf
ATOMIC_POSITIONS crystal
Mn 0.0000 0.0000 0.0000
Os 0.0000 0.5000 0.0000
Os 0.0000 0.0000 0.5000
Os 0.5000 0.0000 0.0000
N 0.5000 0.5000 0.5000
CELL_PARAMETERS angstrom
-2.6016 3.5039 0.4982
-1.5028 -1.6535 3.7817
3.2042 2.0694 2.1782
```

The distance to the lowest polymorph of the same formula is 2.379 eV/atom.



2.
This record from Alexandria via LeMat-Bulk describes a relaxed structure of Ce2AuS2O2. The functional is PBE. Values from VASP.

The structure in Quantum ESPRESSO input format:
```
&SYSTEM
  ibrav = 0, nat = 7, ntyp = 4
/
ATOMIC_SPECIES
Ce 140.12 Ce.upf
Au 196.97 Au.upf
S 32.06 S.upf
O 16.00 O.upf
ATOMIC_POSITIONS crystal
Ce 0.6667 0.3333 0.3612
Ce 0.3333 0.6667 0.6388
Au 0.0000 0.0000 0.0000
S 0.0000 0.0000 0.7881
S 0.0000 0.0000 0.2119
O 0.6667 0.3333 0.5752
O 0.3333 0.6667 0.4248
CELL_PARAMETERS angstrom
-1.2410 -2.6403 2.7451
3.0302 2.4834 0.8355
-7.0357 7.2943 3.8354
```

Its total energy is -48.812 eV per cell.



3.
This record from Alexandria via LeMat-Bulk describes a relaxed structure of CoSb2Rh. The functional is PBE. Values from VASP.

The structure in Quantum ESPRESSO input format:
```
&SYSTEM
  ibrav = 0, nat = 4, ntyp = 3
/
ATOMIC_SPECIES
Co 58.93 Co.upf
Rh 102.91 Rh.upf
Sb 121.76 Sb.upf
ATOMIC_POSITIONS crystal
Co 0.2500 0.2500 0.2500
Rh 0.7500 0.7500 0.7500
Sb 0.9958 0.9958 0.0121
Sb 0.5042 0.5042 0.4879
CELL_PARAMETERS angstrom
4.2851 0.0127 0.0120
3.0630 2.9967 0.0120
1.2533 0.5133 5.6051
```

The distance to the lowest polymorph of the same formula is 0.157 eV/atom.



4.
This record from Alexandria via LeMat-Bulk describes a relaxed structure of LaPm6Pr2Sm. The functional is PBE. Values from VASP.

The structure in Quantum ESPRESSO input format:
```
&SYSTEM
  ibrav = 0, nat = 20, ntyp = 4
/
ATOMIC_SPECIES
La 138.91 La.upf
Pm 145.00 Pm.upf
Pr 140.91 Pr.upf
Sm 150.36 Sm.upf
ATOMIC_POSITIONS crystal
La 0.2500 0.4040 0.5960
La 0.7500 0.5960 0.4040
Pm 0.0559 0.1182 0.7448
Pm 0.4441 0.2552 0.8818
Pm 0.9441 0.8818 0.2552
Pm 0.5559 0.7448 0.1182
Pm 0.3163 0.9736 0.4231
Pm 0.1837 0.5769 0.0264
Pm 0.6837 0.0264 0.5769
Pm 0.8163 0.4231 0.9736
Pm 0.1220 0.7043 0.4975
Pm 0.3780 0.5025 0.2957
Pm 0.8780 0.2957 0.5025
Pm 0.6220 0.4975 0.7043
Pr 0.4590 0.8125 0.7124
Pr 0.0410 0.2876 0.1875
Pr 0.5410 0.1875 0.2876
Pr 0.9590 0.7124 0.8125
Sm 0.2500 0.9822 0.0178
Sm 0.7500 0.0178 0.9822
CELL_PARAMETERS angstrom
-5.0434 -4.8180 -7.2662
-0.8524 -6.6105 6.0375
-5.7172 6.9282 0.4371
```

Its formation energy is 0.116 eV per atom.



5.
This record from Alexandria via LeMat-Bulk describes a relaxed structure of Ba3Al3Zn8. The functional is PBE. Values from VASP.

The structure in Quantum ESPRESSO input format:
```
&SYSTEM
  ibrav = 0, nat = 14, ntyp = 3
/
ATOMIC_SPECIES
Ba 137.33 Ba.upf
Al 26.98 Al.upf
Zn 65.41 Zn.upf
ATOMIC_POSITIONS crystal
Ba 0.5000 0.5000 0.5000
Ba 0.7876 0.2124 0.2124
Ba 0.2124 0.7876 0.7876
Al 0.5000 0.0000 0.0000
Al 0.0000 0.8143 0.1857
Al 0.0000 0.1857 0.8143
Zn 0.6180 0.0912 0.6728
Zn 0.3820 0.9088 0.3272
Zn 0.6180 0.6728 0.0912
Zn 0.3820 0.3272 0.9088
Zn 0.8275 0.8554 0.4897
Zn 0.1725 0.1446 0.5103
Zn 0.8275 0.4897 0.8554
Zn 0.1725 0.5103 0.1446
CELL_PARAMETERS angstrom
4.4195 0.0000 0.0000
2.2098 8.6132 -0.4531
2.2098 1.9090 8.4112
```

Its formation energy is -0.168 eV per atom. The distance to the lowest polymorph of the same formula is 0.000 eV/atom.



6.
This record from Alexandria via LeMat-Bulk describes a relaxed structure of Fe2CuAs. The functional is PBE. Values from VASP.

The structure in Quantum ESPRESSO input format:
```
&SYSTEM
  ibrav = 0, nat = 4, ntyp = 3
/
ATOMIC_SPECIES
As 74.92 As.upf
Cu 63.55 Cu.upf
Fe 55.84 Fe.upf
ATOMIC_POSITIONS crystal
As 0.5000 0.0000 0.5000
Cu 0.0000 0.5000 0.5000
Fe 0.0000 0.0000 0.0000
Fe 0.5000 0.5000 0.0000
CELL_PARAMETERS angstrom
3.6652 0.0000 0.0000
0.0000 3.6667 0.0000
0.0000 0.0000 3.8242
```

Its formation energy is 0.095 eV per atom.



7.
This record from Alexandria via LeMat-Bulk describes a relaxed structure of NiIr4Ru3. The functional is PBE. Values from VASP.

The structure in Quantum ESPRESSO input format:
```
&SYSTEM
  ibrav = 0, nat = 8, ntyp = 3
/
ATOMIC_SPECIES
Ni 58.69 Ni.upf
Ir 192.22 Ir.upf
Ru 101.07 Ru.upf
ATOMIC_POSITIONS crystal
Ni 0.5000 0.0000 0.0000
Ir 0.4008 0.3154 0.8016
Ir 0.5992 0.6846 0.1984
Ir 0.7200 0.7365 0.4400
Ir 0.2800 0.2635 0.5600
Ru 0.0000 0.5000 0.0000
Ru 0.1564 0.2144 0.3129
Ru 0.8436 0.7856 0.6871
CELL_PARAMETERS angstrom
2.6470 0.0000 -0.5827
-0.0445 3.9653 -0.2023
1.0329 -0.2698 10.9962
```

Its formation energy is 0.264 eV per atom. The distance to the lowest polymorph of the same formula is 0.122 eV/atom.